(1)
! BaSnPRh | Alexandria via LeMat-Bulk | PBE | relaxed; values from VASP
! calculated density: 6.2 Mg/m³
! E_form: -0.71 eV per atom
! SG: P4/nmm (129)
&SYSTEM
  ibrav = 0, nat = 8, ntyp = 4
/
ATOMIC_SPECIES
Ba 137.33 Ba.upf
Sn 118.71 Sn.upf
P 30.97 P.upf
Rh 102.91 Rh.upf
CELL_PARAMETERS angstrom
4.1395 0.0000 0.0000
0.0000 4.1395 0.0000
0.0000 0.0000 12.0946
ATOMIC_POSITIONS angstrom
Ba 1.0349 1.0349 2.9048
Ba 3.1046 3.1046 9.1898
Sn 1.0349 3.1046 6.0473
Sn 3.1046 1.0349 6.0473
P 1.0349 1.0349 10.8782
P 3.1046 3.1046 1.2164
Rh 1.0349 3.1046 0.0000
Rh 3.1046 1.0349 0.0000

***

(2)
! BaTcP2Rh | Alexandria via LeMat-Bulk | PBE | relaxed; values from VASP
! calculated density: 6.5 Mg/m³
! E_form: -0.95 eV per atom
! SG: I-4m2 (119)
&SYSTEM
  ibrav = 0, nat = 5, ntyp = 4
/
ATOMIC_SPECIES
Ba 137.33 Ba.upf
Tc 98.00 Tc.upf
P 30.97 P.upf
Rh 102.91 Rh.upf
CELL_PARAMETERS angstrom
-2.0402 2.0402 6.1610
2.0402 -2.0402 6.1610
2.0402 2.0402 -6.1610
ATOMIC_POSITIONS angstrom
Ba 0.0000 0.0000 0.0000
Tc 0.0000 2.0402 3.0805
P 0.0000 0.0000 4.2527
P 0.0000 0.0000 8.0693
Rh 2.0402 0.0000 3.0805

***

(3)
! Ba2TePRh | Alexandria via LeMat-Bulk | PBE | relaxed; values from VASP
! formation energy without anion corrections: -953 meV per atom
! calculated density: 5.2 Mg/m³
! energy above the most stable polymorph in this dataset: 1.21 kcal/mol of atoms
! SG: P4/mmm (123)
&SYSTEM
  ibrav = 0, nat = 5, ntyp = 4
/
ATOMIC_SPECIES
Ba 137.33 Ba.upf
Te 127.60 Te.upf
P 30.97 P.upf
Rh 102.91 Rh.upf
CELL_PARAMETERS angstrom
6.2602 0.0000 0.0000
0.0000 6.2602 0.0000
0.0000 0.0000 4.3667
ATOMIC_POSITIONS angstrom
Ba 0.0000 3.1301 0.0000
Ba 3.1301 0.0000 0.0000
Te 0.0000 0.0000 2.1833
P 3.1301 3.1301 0.0000
Rh 3.1301 3.1301 2.1833

***

(4)
! Ba2TePRh | Alexandria via LeMat-Bulk | PBE | relaxed; values from VASP
! formation energy without anion corrections: -1006 meV per atom
! calculated density: 5.3 Mg/m³
! energy above the most stable polymorph in this dataset: 0.00 kcal/mol of atoms
! SG: P4/mmm (123)
&SYSTEM
  ibrav = 0, nat = 5, ntyp = 4
/
ATOMIC_SPECIES
Ba 137.33 Ba.upf
Te 127.60 Te.upf
P 30.97 P.upf
Rh 102.91 Rh.upf
CELL_PARAMETERS angstrom
6.1858 0.0000 0.0000
0.0000 6.1858 0.0000
0.0000 0.0000 4.4132
ATOMIC_POSITIONS angstrom
Ba 0.0000 3.0929 0.0000
Ba 3.0929 0.0000 0.0000
Te 0.0000 0.0000 2.2066
P 3.0929 3.0929 2.2066
Rh 3.0929 3.0929 0.0000

***

(5)
! Ba2ThP3Rh12 | Alexandria via LeMat-Bulk | PBE | relaxed; values from VASP
! calculated density: 8.6 Mg/m³
! E_form: -0.19 eV per atom
! SG: R-3m (166)
&SYSTEM
  ibrav = 0, nat = 18, ntyp = 4
/
ATOMIC_SPECIES
Ba 137.33 Ba.upf
Th 232.04 Th.upf
P 30.97 P.upf
Rh 102.91 Rh.upf
CELL_PARAMETERS angstrom
4.2173 2.4349 5.7299
-4.2173 2.4349 5.7299
0.0000 -4.8697 5.7299
ATOMIC_POSITIONS angstrom
Ba 0.0000 0.0000 1.7117
Ba 0.0000 0.0000 15.4781
Th 0.0000 0.0000 8.5949
P -2.1087 -1.2174 5.7299
P -2.1087 1.2174 11.4598
P 0.0000 2.4349 5.7299
Rh -2.2063 -1.2738 7.9566
Rh 0.0000 -1.9656 5.3656
Rh -1.7022 0.9828 5.3656
Rh 0.0000 -2.5477 9.2332
Rh -2.2063 1.2738 9.2332
Rh -1.7022 -0.9828 11.8242
Rh 1.7022 0.9828 5.3656
Rh 2.2063 -1.2738 7.9566
Rh 0.0000 2.5477 7.9566
Rh 1.7022 -0.9828 11.8242
Rh 0.0000 1.9655 11.8242
Rh 2.2063 1.2738 9.2332

***

(6)
! BaTiP2Rh | Alexandria via LeMat-Bulk | PBE | relaxed; values from VASP
! calculated density: 5.5 Mg/m³
! E_form: -1.07 eV per atom
! SG: I-4m2 (119)
&SYSTEM
  ibrav = 0, nat = 5, ntyp = 4
/
ATOMIC_SPECIES
Ba 137.33 Ba.upf
Ti 47.87 Ti.upf
P 30.97 P.upf
Rh 102.91 Rh.upf
CELL_PARAMETERS angstrom
-1.9991 1.9991 6.5758
1.9991 -1.9991 6.5758
1.9991 1.9991 -6.5758
ATOMIC_POSITIONS angstrom
Ba 0.0000 0.0000 0.0000
Ti 0.0000 1.9991 3.2879
P 0.0000 0.0000 4.6876
P 0.0000 0.0000 8.4639
Rh 1.9991 0.0000 3.2879

***

(7)
! Ba2TlPRh | Alexandria via LeMat-Bulk | PBE | relaxed; values from VASP
! calculated density: 5.9 Mg/m³
! E_form: -0.49 eV per atom
! energy above the most stable polymorph in this dataset: 0.00 kcal/mol of atoms
! SG: P4/mmm (123)
&SYSTEM
  ibrav = 0, nat = 5, ntyp = 4
/
ATOMIC_SPECIES
Ba 137.33 Ba.upf
Tl 204.38 Tl.upf
P 30.97 P.upf
Rh 102.91 Rh.upf
CELL_PARAMETERS angstrom
6.2587 0.0000 0.0000
0.0000 6.2587 0.0000
0.0000 0.0000 4.3865
ATOMIC_POSITIONS angstrom
Ba 0.0000 3.1294 0.0000
Ba 3.1294 0.0000 0.0000
Tl 0.0000 0.0000 2.1932
P 3.1294 3.1294 0.0000
Rh 3.1294 3.1294 2.1932

***

(8)
! Ba2TlPRh | Alexandria via LeMat-Bulk | PBE | relaxed; values from VASP
! calculated density: 6.0 Mg/m³
! E_form: -0.45 eV per atom
! energy above the most stable polymorph in this dataset: 0.93 kcal/mol of atoms
! SG: P4/mmm (123)
&SYSTEM
  ibrav = 0, nat = 5, ntyp = 4
/
ATOMIC_SPECIES
Ba 137.33 Ba.upf
Tl 204.38 Tl.upf
P 30.97 P.upf
Rh 102.91 Rh.upf
CELL_PARAMETERS angstrom
6.1951 0.0000 0.0000
0.0000 6.1951 0.0000
0.0000 0.0000 4.4507
ATOMIC_POSITIONS angstrom
Ba 0.0000 3.0975 0.0000
Ba 3.0975 0.0000 0.0000
Tl 0.0000 0.0000 2.2253
P 3.0975 3.0975 2.2253
Rh 3.0975 3.0975 0.0000

***

| no. | total magnetization (μB/cell) |
| --- | --- |
| 1 | 0.01 |
| 2 | 0.00 |
| 3 | 0.00 |
| 4 | 0.00 |
| 5 | 0.00 |
| 6 | 0.00 |
| 7 | 0.00 |
| 8 | 0.00 |